Li2MnTe: optimized geometry, GGA-PBE.

a b c (Å): 4.529 4.529 4.529
angles (deg): 60.00 60.00 60.00
Last column: magnetic moment on the atom in μB.
Atoms (fractional coordinates):
Li: 0.000 0.000 0.000  -0.04
Li: 0.250 0.250 0.250  -0.06
Mn: 0.500 0.500 0.500  3.13
Te: 0.750 0.750 0.750  -0.01

Results
Formation energy without anion corrections   -0.13 eV per atom